Entry from Alexandria via LeMat-Bulk: a geometry-optimized PrSm2In6 structure (PBE).

Cell and atoms, written as POSCAR:
```
PrSm2In6
1.0
-0.284 -1.858 -3.185
8.528 -1.547 0.142
-5.480 -5.577 3.742
Pr Sm In
1 2 6
Direct
0.000 0.000 0.000
0.000 0.333 0.667
0.000 0.667 0.333
0.500 0.334 0.334
0.500 0.666 0.666
0.500 0.000 0.666
0.500 0.666 0.000
0.500 0.334 0.000
0.500 0.000 0.334
```

The calculation puts the formation energy at -397 kJ/mol of formula units. The polymorph energy (0 for the lowest one) comes out at 0.00 eV/f.u. As for the uncorrected energy: -3.8629 eV/atom.